[1]
## LiAs2Rh2 (GGA-PBE)

Data for crystalline LiAs2Rh2 at its relaxed geometry.

## Properties
E: -5.712 eV/atom
Density: 6.9 g/cm3

Unit cell a=4.0822 b=4.0822 c=5.9958 alpha=70.10 beta=70.10 gamma=90.00
Atoms (fractional coordinates):
As 0.3787 0.3787 0.2426
As 0.6213 0.6213 0.7574
Li 0.0000 0.0000 0.0000
Rh 0.7500 0.2500 0.5000
Rh 0.2500 0.7500 0.5000

[2]
## Er6TeSe2S3 (GGA-PBE)

Data for crystalline Er6TeSe2S3 at its relaxed geometry.

## Properties
Formation energy (no corrections): -21.00 eV per formula unit
Density: 8.4 g/cm3

Unit cell a=3.9729 b=8.0841 c=8.9899 alpha=103.98 beta=102.77 gamma=90.00
Atoms (fractional coordinates):
Te 0.5000 0.0000 0.0000
Er 0.6782 0.0677 0.3565
Er 0.6605 0.5981 0.3211
Er 0.3395 0.4019 0.6789
Er 0.3218 0.9323 0.6435
Er 0.0061 0.7202 0.0121
Er 0.9939 0.2798 0.9879
Se 0.1675 0.3330 0.3351
Se 0.8325 0.6670 0.6649
S 0.8355 0.1700 0.6710
S 0.1645 0.8300 0.3290
S 0.5000 0.5000 0.0000

[3]
## Tl2As2Au (GGA-PBE)

Data for crystalline Tl2As2Au at its relaxed geometry.

## Properties
E: -3.264 eV/atom
Density: 9.3 g/cm3

Unit cell a=5.8872 b=5.8872 c=5.6876 alpha=58.83 beta=58.83 gamma=90.00
Atoms (fractional coordinates):
Tl 0.7500 0.2500 0.5000
Tl 0.2500 0.7500 0.5000
As 0.6656 0.6656 0.6688
As 0.3344 0.3344 0.3312
Au 0.0000 0.0000 0.0000

[4]
## LaGdAg2 (GGA-PBE)

Data for crystalline LaGdAg2 at its relaxed geometry.

## Properties
E: -6.458 eV/atom
Density: 8.1 g/cm3

Unit cell a=3.7273 b=3.7273 c=7.5631 alpha=90.00 beta=90.00 gamma=90.00
Each line ends with the local moment (μB).
Atoms (fractional coordinates):
Ag 0.0000 0.0000 0.2703  0.00
Ag 0.0000 0.0000 0.7297  0.00
Gd 0.5000 0.5000 0.5000  7.03
La 0.5000 0.5000 0.0000  0.03

[5]
## ScZn2Br (GGA-PBE)

Data for crystalline ScZn2Br at its relaxed geometry.

## Properties
Formation energy (no corrections): -0.97 eV per formula unit
Density: 5.4 g/cm3

Unit cell a=6.0245 b=6.0245 c=6.0245 alpha=142.87 beta=142.87 gamma=53.52
Atoms (fractional coordinates):
Zn 0.5000 0.5000 0.0000
Zn 0.0000 0.0000 0.0000
Br 0.2500 0.7500 0.5000
Sc 0.7500 0.2500 0.5000

[6]
## Zr2MnSiBr (GGA-PBE)

Data for crystalline Zr2MnSiBr at its relaxed geometry.

## Properties
Formation energy (no corrections): 6.15 eV per formula unit
Density: 4.7 g/cm3

Unit cell a=5.0585 b=4.8198 c=5.0585 alpha=90.00 beta=90.00 gamma=90.00
Each line ends with the local moment (μB).
Atoms (fractional coordinates):
Mn 0.5000 0.5000 0.5000  -0.28
Zr 0.0000 0.0000 0.5000  0.11
Zr 0.5000 0.0000 0.0000  0.07
Br 0.0000 0.5000 0.0000  0.02
Si 0.0000 0.0000 0.0000  0.01

[7]
## La4CdIr2 (GGA-PBE)

Data for crystalline La4CdIr2 at its relaxed geometry.

## Properties
E: -6.060 eV/atom
Density: 8.0 g/cm3

Unit cell a=4.2636 b=7.3983 c=14.3987 alpha=90.00 beta=90.00 gamma=106.75
Atoms (fractional coordinates):
La 0.7650 0.5300 0.1073
La 0.2350 0.4700 0.8927
La 0.5000 0.0000 0.0000
La 0.9344 0.8689 0.7500
La 0.0656 0.1311 0.2500
La 0.5000 0.0000 0.5000
La 0.2350 0.4700 0.6073
La 0.7650 0.5300 0.3927
Ir 0.8680 0.7360 0.9358
Ir 0.8680 0.7360 0.5642
Ir 0.1320 0.2640 0.0642
Ir 0.1320 0.2640 0.4358
Cd 0.3854 0.7708 0.2500
Cd 0.6146 0.2292 0.7500

[8]
## SmY2ThSe4 (GGA-PBE)

Data for crystalline SmY2ThSe4 at its relaxed geometry.

## Properties
Formation energy (no corrections): -13.70 eV per formula unit
Density: 7.3 g/cm3

Unit cell a=4.0936 b=7.2505 c=7.1430 alpha=71.01 beta=90.00 gamma=90.00
Atoms (fractional coordinates):
Se 0.0000 0.2402 0.2515
Se 0.5000 0.2383 0.7561
Se 0.0000 0.7598 0.7485
Se 0.5000 0.7617 0.2439
Th 0.0000 0.5000 0.5000
Y 0.0000 0.0000 0.0000
Y 0.5000 0.0000 0.5000
Sm 0.5000 0.5000 0.0000